[1]
KHfB | PBE | relaxed

a b c (Å): 3.487 4.473 11.907
angles (deg): 88.49 84.97 67.10
Space group P-1 (No. 2)
Symmetry-distinct sites (fractional):
K (0.219, 0.256, 0.173) [2 per cell]
Hf (0.117, 0.217, 0.581) [2 per cell]
B (0.410, 0.654, 0.545) [2 per cell]

Computed properties:
Total magnetization ... 0.00 μB/f.u.
Formation energy from the elements ... 0.114 eV per atom
Excess energy over the best structure of this formula in the dataset ... 183.0 meV per atom
Energy ... -0.426 Ry per atom
DOS at the Fermi energy ... 4.06 states/eV/cell

[2]
CrC2 | PBE | relaxed

a b c (Å): 2.5716 2.5716 7.6784
angles (deg): 90.00 90.00 120.00
Space group P6_3/mmc (No. 194)
Symmetry-distinct sites (fractional):
Cr (0.3333, 0.6667, 0.2500) [2 per cell]
C (0.3333, 0.6667, 0.5293) [4 per cell]

Computed properties:
Total magnetization ... 1.08 μB/f.u.
Formation energy from the elements ... 0.562 eV per atom
Excess energy over the best structure of this formula in the dataset ... 67.1 meV per atom
Energy ... -0.646 Ry per atom
DOS at the Fermi energy ... 3.08 states/eV/cell

[3]
SrNb3Tc | PBE | relaxed

a b c (Å): 4.755 4.755 4.755
angles (deg): 90.00 90.00 90.00
Space group Pm-3m (No. 221)
Symmetry-distinct sites (fractional):
Sr (0.000, 0.000, 0.000) [1 per cell]
Nb (0.000, 0.000, 0.500) [3 per cell]
Tc (0.500, 0.500, 0.500) [1 per cell]

Computed properties:
Total magnetization ... 0.00 μB/f.u.
Formation energy from the elements ... 2.836 eV per atom
Excess energy over the best structure of this formula in the dataset ... 1994.1 meV per atom
Energy ... -0.413 Ry per atom
DOS at the Fermi energy ... 5.69 states/eV/cell

[4]
Cu2MoAu | PBE | relaxed

a b c (Å): 9.173 2.682 4.824
angles (deg): 90.00 100.04 90.00
Space group Cm (No. 8)
Symmetry-distinct sites (fractional):
Cu (0.000, 0.000, 0.000) [2 per cell]
Cu (0.239, 0.500, 0.240) [2 per cell]
Mo (0.488, 0.000, 0.482) [2 per cell]
Au (0.245, 0.000, 0.747) [2 per cell]

Computed properties:
Total magnetization ... 0.00 μB/f.u.
Formation energy from the elements ... 0.280 eV per atom
Excess energy over the best structure of this formula in the dataset ... 142.4 meV per atom
Energy ... -0.389 Ry per atom
DOS at the Fermi energy ... 5.55 states/eV/cell

[5]
LiTaBe | PBE | relaxed

a b c (Å): 4.1205 4.1205 5.5337
angles (deg): 90.00 90.00 120.00
Space group P3m1 (No. 156)
Symmetry-distinct sites (fractional):
Li (0.0000, 0.0000, 0.0000) [1 per cell]
Li (0.3333, 0.6667, 0.1473) [1 per cell]
Ta (0.0000, 0.0000, 0.4847) [1 per cell]
Ta (0.6667, 0.3333, 0.7785) [1 per cell]
Be (0.3333, 0.6667, 0.6441) [1 per cell]
Be (0.6667, 0.3333, 0.2801) [1 per cell]

Computed properties:
Total magnetization ... 0.00 μB/f.u.
Formation energy from the elements ... 0.269 eV per atom
Excess energy over the best structure of this formula in the dataset ... 140.3 meV per atom
Energy ... -0.409 Ry per atom
DOS at the Fermi energy ... 3.19 states/eV/cell

[6]
Li2PmSO8 | PBE | relaxed

a b c (Å): 4.9554 4.9554 6.1932
angles (deg): 90.00 90.00 120.00
Space group P-3m1 (No. 164)
Symmetry-distinct sites (fractional):
Li (0.3333, 0.6667, 0.4391) [2 per cell]
Pm (0.0000, 0.0000, 0.0000) [1 per cell]
S (0.0000, 0.0000, 0.5000) [1 per cell]
O (0.1541, 0.3082, 0.6553) [6 per cell]
O (0.3333, 0.6667, 0.0480) [2 per cell]

Computed properties:
Total magnetization ... 4.87 μB/f.u.
ΔE_f (raw) ... -1.0506 eV per atom
Energy ... -0.398 Ry per atom
DOS at the Fermi energy ... 5.04 states/eV/cell

[7]
Cr3FeSi | PBE | relaxed

a b c (Å): 4.214 4.214 4.214
angles (deg): 90.00 90.00 90.00
Space group Pm-3m (No. 221)
Symmetry-distinct sites (fractional):
Cr (0.000, 0.000, 0.500) [3 per cell]
Fe (0.500, 0.500, 0.500) [1 per cell]
Si (0.000, 0.000, 0.000) [1 per cell]

Computed properties:
Total magnetization ... 3.68 μB/f.u.
ΔE_f (raw) ... 1.2314 eV per atom
Excess energy over the best structure of this formula in the dataset ... 177.9 meV per atom
Energy ... -0.538 Ry per atom
DOS at the Fermi energy ... 13.17 states/eV/cell

[8]
BaInAu3 | PBE | relaxed

a b c (Å): 6.150 6.150 6.150
angles (deg): 90.00 90.00 90.00
Space group Pm-3m (No. 221)
Symmetry-distinct sites (fractional):
Ba (0.000, 0.000, 0.000) [1 per cell]
In (0.500, 0.500, 0.500) [1 per cell]
Au (0.000, 0.000, 0.500) [3 per cell]

Computed properties:
Total magnetization ... 0.00 μB/f.u.
Formation energy from the elements ... 0.324 eV per atom
Excess energy over the best structure of this formula in the dataset ... 834.0 meV per atom
Energy ... -0.189 Ry per atom
DOS at the Fermi energy ... 0.00 states/eV/cell

[9]
BeAs4Pb | PBE | relaxed

a b c (Å): 8.027 8.027 8.027
angles (deg): 90.00 90.00 90.00
Space group F-43m (No. 216)
Symmetry-distinct sites (fractional):
Be (0.000, 0.000, 0.000) [4 per cell]
As (0.129, 0.129, 0.371) [16 per cell]
Pb (0.250, 0.250, 0.750) [4 per cell]

Computed properties:
Total magnetization ... 0.00 μB/f.u.
Formation energy from the elements ... 0.622 eV per atom
Energy ... -0.273 Ry per atom
DOS at the Fermi energy ... 17.70 states/eV/cell

[10]
K4Dy3ZrS8 | PBE | relaxed

a b c (Å): 7.9608 7.9608 22.1264
angles (deg): 90.00 90.00 120.00
Space group R-3m (No. 166, hexagonal axes)
Symmetry-distinct sites (fractional):
K (0.0000, 0.0000, 0.0000) [3 per cell]
K (0.0000, 0.5000, 0.0000) [9 per cell]
Dy (0.0000, 0.5000, 0.5000) [9 per cell]
Zr (0.0000, 0.0000, 0.5000) [3 per cell]
S (0.0000, 0.0000, 0.2349) [6 per cell]
S (0.0117, 0.5059, 0.2335) [18 per cell]

Computed properties:
Total magnetization ... 0.00 μB/f.u.
ΔE_f (raw) ... -1.7686 eV per atom
Energy ... -0.405 Ry per atom
DOS at the Fermi energy ... 14.15 states/eV/cell

[11]
Be2Ni | PBE | relaxed

a b c (Å): 2.735 2.735 15.165
angles (deg): 90.00 90.00 90.00
Space group I4_1/amd (No. 141, origin choice 2)
Symmetry-distinct sites (fractional):
Be (0.000, 0.250, 0.303) [8 per cell]
Ni (0.000, 0.250, 0.875) [4 per cell]

Computed properties:
Total magnetization ... 0.00 μB/f.u.
Formation energy from the elements ... -0.037 eV per atom
Energy ... -0.327 Ry per atom
DOS at the Fermi energy ... 2.90 states/eV/cell

[12]
MgSbCl2 | PBE | relaxed

a b c (Å): 4.006 4.006 12.533
angles (deg): 90.00 90.00 90.00
Space group I-4m2 (No. 119)
Symmetry-distinct sites (fractional):
Mg (0.000, 0.000, 0.000) [2 per cell]
Sb (0.000, 0.500, 0.750) [2 per cell]
Cl (0.000, 0.000, 0.500) [2 per cell]
Cl (0.000, 0.500, 0.250) [2 per cell]

Computed properties:
Total magnetization ... 0.00 μB/f.u.
ΔE_f (raw) ... -0.3796 eV per atom
Excess energy over the best structure of this formula in the dataset ... 743.4 meV per atom
Energy ... -0.201 Ry per atom
DOS at the Fermi energy ... 3.43 states/eV/cell

[13]
SiIr2Au | PBE | relaxed

a b c (Å): 2.858 4.879 8.862
angles (deg): 90.00 90.00 90.00
Space group Cmmm (No. 65)
Symmetry-distinct sites (fractional):
Si (0.000, 0.000, 0.000) [2 per cell]
Ir (0.000, 0.500, 0.209) [4 per cell]
Au (0.000, 0.000, 0.500) [2 per cell]

Computed properties:
Total magnetization ... 0.00 μB/f.u.
ΔE_f (raw) ... -0.0483 eV per atom
Energy ... -0.489 Ry per atom
DOS at the Fermi energy ... 3.36 states/eV/cell

[14]
SrRe3 | PBE | relaxed

a b c (Å): 7.209 8.981 4.690
angles (deg): 90.00 90.00 90.00
Space group Cmcm (No. 63)
Symmetry-distinct sites (fractional):
Sr (0.000, 0.070, 0.250) [4 per cell]
Re (0.000, 0.431, 0.250) [4 per cell]
Re (0.166, 0.281, 0.750) [8 per cell]

Computed properties:
Total magnetization ... 0.00 μB/f.u.
Formation energy from the elements ... 0.943 eV per atom
Excess energy over the best structure of this formula in the dataset ... 221.3 meV per atom
Energy ... -0.648 Ry per atom
DOS at the Fermi energy ... 14.86 states/eV/cell

[15]
Sr2CrCo | PBE | relaxed

a b c (Å): 3.792 3.792 7.852
angles (deg): 90.00 90.00 90.00
Space group P4/mmm (No. 123)
Symmetry-distinct sites (fractional):
Sr (0.000, 0.000, 0.223) [2 per cell]
Cr (0.500, 0.500, 0.500) [1 per cell]
Co (0.500, 0.500, 0.000) [1 per cell]

Computed properties:
Total magnetization ... 4.30 μB/f.u.
Formation energy from the elements ... 0.745 eV per atom
Excess energy over the best structure of this formula in the dataset ... 385.2 meV per atom
Energy ... -0.314 Ry per atom
DOS at the Fermi energy ... 7.63 states/eV/cell

[16]
Pu6GeSe5 | PBE | relaxed

a b c (Å): 7.218 12.498 7.218
angles (deg): 90.00 109.45 90.00
Space group C2/m (No. 12)
Symmetry-distinct sites (fractional):
Pu (0.248, 0.000, 0.251) [4 per cell]
Pu (0.248, 0.166, 0.748) [8 per cell]
Ge (0.000, 0.000, 0.500) [2 per cell]
Se (0.000, 0.168, 0.000) [4 per cell]
Se (0.000, 0.334, 0.500) [4 per cell]
Se (0.000, 0.500, 0.000) [2 per cell]

Computed properties:
Total magnetization ... 33.36 μB/f.u.
ΔE_f (raw) ... -1.3309 eV per atom
Energy ... -0.760 Ry per atom
DOS at the Fermi energy ... 117.28 states/eV/cell

[17]
SrReSbTe2 | PBE | relaxed

a b c (Å): 5.590 5.590 5.071
angles (deg): 90.00 90.00 90.00
Space group P4/mmm (No. 123)
Symmetry-distinct sites (fractional):
Sr (0.000, 0.000, 0.000) [1 per cell]
Re (0.500, 0.500, 0.500) [1 per cell]
Sb (0.500, 0.500, 0.000) [1 per cell]
Te (0.000, 0.500, 0.500) [2 per cell]

Computed properties:
Total magnetization ... 1.95 μB/f.u.
ΔE_f (raw) ... 0.0460 eV per atom
Excess energy over the best structure of this formula in the dataset ... 0.0 meV per atom
Energy ... -0.357 Ry per atom
DOS at the Fermi energy ... 3.39 states/eV/cell

[18]
Tb6Nd3Sm2Pu | PBE | relaxed

a b c (Å): 6.226 10.795 11.822
angles (deg): 90.00 100.15 90.00
Space group C2/m (No. 12)
Symmetry-distinct sites (fractional):
Tb (0.246, 0.164, 0.246) [8 per cell]
Tb (0.247, 0.000, 0.754) [4 per cell]
Nd (0.000, 0.167, 0.500) [4 per cell]
Nd (0.000, 0.500, 0.500) [2 per cell]
Sm (0.000, 0.333, 0.000) [4 per cell]
Pu (0.000, 0.000, 0.000) [2 per cell]

Computed properties:
Total magnetization ... 6.52 μB/f.u.
Formation energy from the elements ... 0.044 eV per atom
Energy ... -0.400 Ry per atom
DOS at the Fermi energy ... 47.22 states/eV/cell

[19]
YSc2Be | PBE | relaxed

a b c (Å): 7.061 7.061 7.061
angles (deg): 90.00 90.00 90.00
Space group F-43m (No. 216)
Symmetry-distinct sites (fractional):
Y (0.000, 0.000, 0.000) [4 per cell]
Sc (0.000, 0.000, 0.500) [4 per cell]
Sc (0.250, 0.250, 0.250) [4 per cell]
Be (0.250, 0.250, 0.750) [4 per cell]

Computed properties:
Total magnetization ... 0.32 μB/f.u.
Formation energy from the elements ... 0.255 eV per atom
Energy ... -0.401 Ry per atom
DOS at the Fermi energy ... 20.17 states/eV/cell

[20]
Y3TmH | PBE | relaxed

a b c (Å): 4.995 4.995 4.995
angles (deg): 90.00 90.00 90.00
Space group Pm-3m (No. 221)
Symmetry-distinct sites (fractional):
Y (0.000, 0.000, 0.500) [3 per cell]
Tm (0.500, 0.500, 0.500) [1 per cell]
H (0.000, 0.000, 0.000) [1 per cell]

Computed properties:
Total magnetization ... 0.00 μB/f.u.
Energy ... -0.411 Ry per atom
DOS at the Fermi energy ... 5.22 states/eV/cell